Crystalline SrMg2Te2 at its relaxed geometry. Source: Alexandria, functional PBE.

extended XYZ file:
```
10
Lattice="-7.488 -1.075 3.792 3.941 -1.930 7.236 -0.027 4.023 1.088" Properties=species:S:1:pos:R:3 pbc="T T T"
Te 0.756 -1.994 7.395
Te 0.171 -0.830 3.076
Te -3.718 -2.175 7.952
Te -4.303 -1.011 3.633
Mg -5.035 0.392 6.413
Mg 1.461 0.627 5.703
Mg -2.160 1.355 2.921
Mg -1.414 -0.336 9.194
Sr -1.774 -1.502 5.514
Sr 0.000 0.000 0.000
```

- symmetry = P4/mbm, No. 127
- energy relative to the elements, uncorrected (eV/atom) = -0.625
- energy above the most stable polymorph in this dataset (meV/atom) = 35.6

---

Crystalline Sr2MgTe at its relaxed geometry. Source: Alexandria, functional PBE.

extended XYZ file:
```
4
Lattice="4.046 0.032 0.000 -0.029 4.046 0.000 0.000 0.000 9.199" Properties=species:S:1:pos:R:3 pbc="T T T"
Sr 0.000 0.000 8.708
Sr 2.008 2.039 2.919
Te 0.000 0.000 4.939
Mg 2.008 2.039 6.430
```

- symmetry = P4mm, No. 99
- energy relative to the elements, uncorrected (eV/atom) = -0.543
- energy above the most stable polymorph in this dataset (meV/atom) = 208.6

---

Crystalline SrMg2Te2 at its relaxed geometry. Source: Alexandria, functional PBE.

extended XYZ file:
```
5
Lattice="4.319 0.000 0.000 0.000 4.319 0.000 2.160 2.160 8.090" Properties=species:S:1:pos:R:3 pbc="T T T"
Te 4.319 4.319 6.336
Te 2.160 2.160 1.754
Mg 2.160 4.319 4.045
Mg 4.319 2.160 4.045
Sr 0.000 0.000 0.000
```

- symmetry = I4/mmm, No. 139
- energy relative to the elements, uncorrected (eV/atom) = -0.661
- energy above the most stable polymorph in this dataset (meV/atom) = 0.0

---

Crystalline Sr2MgTe at its relaxed geometry. Source: Alexandria, functional PBE.

extended XYZ file:
```
4
Lattice="6.253 -0.001 0.000 1.811 5.985 0.000 -4.032 -2.992 3.727" Properties=species:S:1:pos:R:3 pbc="T T T"
Sr 0.000 0.000 0.000
Sr 4.032 2.992 0.000
Mg 3.126 0.000 1.863
Te 0.906 2.992 1.863
```

- symmetry = I4/mmm, No. 139
- energy relative to the elements, uncorrected (eV/atom) = -0.587
- energy above the most stable polymorph in this dataset (meV/atom) = 164.0

---

Crystalline SrMgTe2 at its relaxed geometry. Source: Alexandria, functional PBE.

extended XYZ file:
```
4
Lattice="3.930 0.000 0.000 0.000 3.930 0.000 0.000 0.000 7.794" Properties=species:S:1:pos:R:3 pbc="T T T"
Te 0.000 0.000 3.760
Te 0.000 0.000 0.137
Sr 1.965 1.965 5.846
Mg 1.965 1.965 1.949
```

- symmetry = P4/mmm, No. 123
- energy relative to the elements, uncorrected (eV/atom) = -0.866

---

Crystalline SrMgTe2 at its relaxed geometry. Source: Alexandria, functional PBE.

extended XYZ file:
```
4
Lattice="5.911 -0.016 0.042 0.171 5.908 -0.042 -1.923 -4.100 3.799" Properties=species:S:1:pos:R:3 pbc="T T T"
Te 2.832 2.744 0.000
Te 0.209 0.203 0.000
Mg 0.644 2.377 1.878
Sr 3.514 -0.585 1.921
```

- symmetry = Immm, No. 71
- energy relative to the elements, uncorrected (eV/atom) = -0.989

---

Crystalline SrMgTe2 at its relaxed geometry. Source: Alexandria, functional PBE.

extended XYZ file:
```
4
Lattice="6.390 0.000 0.000 0.000 4.672 -0.022 0.000 0.030 4.603" Properties=species:S:1:pos:R:3 pbc="T T T"
Te 0.000 4.364 4.007
Te 3.195 1.826 1.722
Mg 0.000 1.403 1.711
Sr 3.195 4.162 4.013
```

- symmetry = Pm, No. 6
- energy relative to the elements, uncorrected (eV/atom) = -1.168

---

Crystalline SrMgTe2 at its relaxed geometry. Source: Alexandria, functional PBE.

extended XYZ file:
```
4
Lattice="-4.375 -0.147 0.589 -2.645 -1.107 -3.360 -1.824 -7.729 1.078" Properties=species:S:1:pos:R:3 pbc="T T T"
Te -1.935 -6.163 0.649
Te -2.229 -1.997 -0.491
Sr -4.421 -4.505 -0.843
Mg -6.506 -8.538 -0.777
```

- symmetry = R3m, No. 160
- energy relative to the elements, uncorrected (eV/atom) = -1.204

---

Crystalline Sr2Mg2Te at its relaxed geometry. Source: Alexandria, functional PBE.

extended XYZ file:
```
10
Lattice="-3.203 -1.138 -7.481 6.074 -5.231 -1.805 -2.834 -3.915 1.809" Properties=species:S:1:pos:R:3 pbc="T T T"
Mg 1.019 -4.277 -7.657
Mg 4.105 -4.986 -4.358
Mg 1.851 -2.093 -1.628
Mg -1.235 -1.383 -4.927
Te 0.000 0.000 0.000
Te 1.435 -3.185 -4.643
Sr -2.074 -4.623 -5.892
Sr -1.434 -3.226 -1.866
Sr 2.110 -5.661 -1.584
Sr 1.470 -7.058 -5.610
```

- symmetry = P4/mbm, No. 127
- energy relative to the elements, uncorrected (eV/atom) = -0.343
- energy above the most stable polymorph in this dataset (meV/atom) = 0.0

---

Crystalline SrMgTe2 at its relaxed geometry. Source: Alexandria, functional PBE.

extended XYZ file:
```
4
Lattice="-5.792 -1.273 5.548 -5.022 -6.008 2.152 7.417 2.683 -1.932" Properties=species:S:1:pos:R:3 pbc="T T T"
Mg -4.902 -3.301 3.491
Sr -1.420 -0.798 3.397
Te -0.356 -0.240 0.254
Te -2.125 -3.900 2.475
```

- symmetry = Imm2, No. 44
- energy relative to the elements, uncorrected (eV/atom) = -1.058

---

Crystalline Sr2MgTe at its relaxed geometry. Source: Alexandria, functional PBE.

extended XYZ file:
```
4
Lattice="5.881 0.000 0.000 2.940 5.093 0.000 2.940 1.698 4.802" Properties=species:S:1:pos:R:3 pbc="T T T"
Mg 5.881 3.395 2.401
Sr 2.940 1.698 1.200
Sr 0.000 0.000 0.000
Te 8.821 5.093 3.601
```

- symmetry = F-43m, No. 216
- energy relative to the elements, uncorrected (eV/atom) = -0.246
- energy above the most stable polymorph in this dataset (meV/atom) = 505.6

---

Crystalline Sr2MgTe at its relaxed geometry. Source: Alexandria, functional PBE.

extended XYZ file:
```
4
Lattice="4.222 0.000 0.000 0.000 4.201 0.011 0.000 4.187 7.858" Properties=species:S:1:pos:R:3 pbc="T T T"
Sr 0.000 4.193 3.874
Sr 0.000 4.202 0.071
Mg 2.111 6.291 5.902
Te 2.111 2.097 1.967
```

- symmetry = Pmmm, No. 47
- energy relative to the elements, uncorrected (eV/atom) = -0.751
- energy above the most stable polymorph in this dataset (meV/atom) = 0.0

---

Number 1: VASP energy -2.856 eV/atom. Number 2: VASP energy -2.568 eV/atom. Number 3: VASP energy -2.892 eV/atom. Number 4: VASP energy -2.612 eV/atom. Number 5: VASP energy -3.256 eV/atom. Number 6: VASP energy -3.379 eV/atom. Number 7: VASP energy -3.558 eV/atom. Number 8: VASP energy -3.594 eV/atom. Number 9: VASP energy -2.282 eV/atom. Number 10: VASP energy -3.448 eV/atom. Number 11: VASP energy -2.271 eV/atom. Number 12: VASP energy -2.776 eV/atom.